Li4CaPd: relaxed, PBE.

Results
- space group = F-43m, No. 216
- N(E_F) (states/eV per cell) = 1.69
- DFT total energy (eV per cell) = -15.5
- DFT formation energy (eV per formula unit) = -0.7
- theoretical density (Mg/m³) = 2.59
- energy above the lowest structure with this stoichiometry (meV/atom) = 99.4

abc: 5.4079 5.4079 5.4079
angles: 60.00 60.00 60.00
Sites, in units of the cell vectors:
Ca 0.2500 0.2500 0.2500
Pd 0.0000 0.0000 0.0000
Li 0.6279 0.6279 0.1162
Li 0.6279 0.1162 0.6279
Li 0.6279 0.6279 0.6279
Li 0.1162 0.6279 0.6279